# PBE LuSc2Bi, optimized geometry
# ΔE_f	-281	meV/atom
# crystal system	tetragonal
data_LuSc2Bi
_chemical_formula_sum 'Lu1 Sc2 Bi1'
_space_group_name_H-M_alt 'P 4/m m m'
_space_group_IT_number 123
_space_group_name_Hall '-P 4 2'
_cell_length_a 4.6654
_cell_length_b 4.6654
_cell_length_c 4.6388
_cell_angle_alpha 90.00
_cell_angle_beta 90.00
_cell_angle_gamma 90.00
loop_
_atom_site_label
_atom_site_type_symbol
_atom_site_fract_x
_atom_site_fract_y
_atom_site_fract_z
_atom_site_occupancy
Lu1 Lu 0.0000 0.0000 0.0000 1
Sc1 Sc 0.0000 0.5000 0.5000 1
Bi1 Bi 0.5000 0.5000 0.0000 1